A plane-wave DFT calculation with PBE with a Hubbard U was carried out for an optimized crystal structure of MoPNO2.

a = 3.4921 Å, b = 3.4921 Å, c = 4.0328 Å
α = 90.00°, β = 90.00°, γ = 90.00°
With the nearest neighbours (Å) after each atom.
Space group P4/mmm (No. 123)
Asymmetric unit:
Mo 0.0000 0.0000 0.0000 (multiplicity 1)  4 N 2.47, 8 O 2.67
P 0.5000 0.5000 0.5000 (multiplicity 1)  4 O 1.75
N 0.5000 0.5000 0.0000 (multiplicity 1)  2 P 2.02
O 0.0000 0.5000 0.5000 (multiplicity 2)  2 P 1.75

Values from the calculation:
Electronic total energy: -31.80 eV/f.u.